Record 1
# NiHgC2

A relaxed NiHgC2 crystal (PBE-GGA, the Alexandria database).

Energy of formation (eV per atom): 1.567
SG: No. 122

abc: 4.887 4.887 9.101
angles: 90.00 90.00 90.00
Sites, in units of the cell vectors:
Ni  0.000  0.000  0.000
Ni  0.000  0.500  0.250
Ni  0.500  0.000  0.750
Ni  0.500  0.500  0.500
Hg  0.000  0.000  0.500
Hg  0.000  0.500  0.750
Hg  0.500  0.000  0.250
Hg  0.500  0.500  0.000
C  0.163  0.250  0.125
C  0.250  0.663  0.375
C  0.250  0.837  0.875
C  0.337  0.250  0.625
C  0.663  0.750  0.625
C  0.750  0.163  0.875
C  0.750  0.337  0.375
C  0.837  0.750  0.125

---

Record 2
# Ni2HgPdC

A relaxed Ni2HgPdC crystal (PBE-GGA, the Alexandria database).

Energy of formation (eV per atom): 0.168
SG: No. 123

abc: 3.884 3.884 4.258
angles: 90.00 90.00 90.00
Sites, in units of the cell vectors:
Ni  0.000  0.500  0.000
Ni  0.500  0.000  0.000
Hg  0.000  0.000  0.500
Pd  0.500  0.500  0.500
C  0.500  0.500  0.000

---

Record 3
# Ni2HgRhC

A relaxed Ni2HgRhC crystal (PBE-GGA, the Alexandria database).

Energy of formation (eV per atom): 0.126
SG: No. 123

abc: 3.946 3.946 4.041
angles: 90.00 90.00 90.00
Sites, in units of the cell vectors:
Ni  0.000  0.500  0.000
Ni  0.500  0.000  0.000
Hg  0.000  0.000  0.500
Rh  0.500  0.500  0.500
C  0.500  0.500  0.000

---

Record 4
# NiHgC2Se

A relaxed NiHgC2Se crystal (PBE-GGA, the Alexandria database).

SG: No. 123
Formation energy (no corrections) (meV/atom): 2166

abc: 4.002 4.002 4.659
angles: 90.00 90.00 90.00
Sites, in units of the cell vectors:
Ni  0.000  0.000  0.000
Hg  0.500  0.500  0.000
C  0.000  0.500  0.500
C  0.500  0.000  0.500
Se  0.000  0.000  0.500

---

Record 5
# NiSn2HgC

A relaxed NiSn2HgC crystal (PBE-GGA, the Alexandria database).

Energy of formation (eV per atom): 1.269
SG: No. 123

abc: 4.869 4.869 4.956
angles: 90.00 90.00 90.00
Sites, in units of the cell vectors:
Ni  0.000  0.000  0.000
Sn  0.000  0.500  0.000
Sn  0.500  0.000  0.000
Hg  0.000  0.000  0.500
C  0.500  0.500  0.500

---

Record 6
# Th2NiHgC

A relaxed Th2NiHgC crystal (PBE-GGA, the Alexandria database).

Energy of formation (eV per atom): -0.281
SG: No. 11

abc: 7.294 3.805 8.448
angles: 90.00 110.47 90.00
Sites, in units of the cell vectors:
Th  0.161  0.250  0.385
Th  0.221  0.750  0.009
Th  0.779  0.250  0.991
Th  0.839  0.750  0.615
Ni  0.191  0.250  0.726
Ni  0.809  0.750  0.274
Hg  0.446  0.750  0.711
Hg  0.554  0.250  0.289
C  0.016  0.750  0.180
C  0.984  0.250  0.820

---

Record 7
# Th6Ni2HgC3

A relaxed Th6Ni2HgC3 crystal (PBE-GGA, the Alexandria database).

Energy of formation (eV per atom): -0.215
SG: No. 12

abc: 9.635 9.635 7.976
angles: 113.74 113.74 22.77
Sites, in units of the cell vectors:
Th  0.036  0.036  0.339
Th  0.314  0.314  0.689
Th  0.345  0.345  0.236
Th  0.655  0.655  0.764
Th  0.686  0.686  0.311
Th  0.964  0.964  0.661
Ni  0.127  0.127  0.025
Ni  0.873  0.873  0.975
Hg  0.500  0.500  0.000
C  0.172  0.172  0.565
C  0.500  0.500  0.500
C  0.828  0.828  0.435

---

Record 8
# Zr2NiHgC

A relaxed Zr2NiHgC crystal (PBE-GGA, the Alexandria database).

Offset from the most stable computed form (eV/f.u.): 12.47
Energy of formation (eV per atom): 2.175
SG: No. 123

abc: 5.213 5.213 4.567
angles: 90.00 90.00 90.00
Sites, in units of the cell vectors:
Zr  0.000  0.500  0.000
Zr  0.500  0.000  0.000
Ni  0.000  0.000  0.500
Hg  0.000  0.000  0.000
C  0.500  0.500  0.500

---

Record 9
# Zr2NiHgC

A relaxed Zr2NiHgC crystal (PBE-GGA, the Alexandria database).

Offset from the most stable computed form (eV/f.u.): 0.00
Energy of formation (eV per atom): -0.319
SG: No. 123

abc: 4.614 4.614 3.872
angles: 90.00 90.00 90.00
Sites, in units of the cell vectors:
Zr  0.000  0.500  0.000
Zr  0.500  0.000  0.000
Ni  0.000  0.000  0.500
Hg  0.500  0.500  0.500
C  0.000  0.000  0.000

---

Record 10
# Np2HgC

A relaxed Np2HgC crystal (PBE-GGA, the Alexandria database).

Energy of formation (eV per atom): 0.307
SG: No. 166

abc: 3.996 3.996 17.067
angles: 90.00 90.00 120.00
Sites, in units of the cell vectors:
Np  0.000  0.000  0.196
Np  0.000  0.000  0.804
Np  0.333  0.667  0.471
Np  0.333  0.667  0.862
Np  0.667  0.333  0.138
Np  0.667  0.333  0.529
Hg  0.000  0.000  0.000
Hg  0.333  0.667  0.667
Hg  0.667  0.333  0.333
C  0.000  0.000  0.500
C  0.333  0.667  0.167
C  0.667  0.333  0.833

---

Record 11
# HgC2O

A relaxed HgC2O crystal (PBE-GGA, the Alexandria database).

Offset from the most stable computed form (eV/f.u.): 2.75
SG: No. 225
Formation energy (no corrections) (meV/atom): 2931

abc: 5.633 5.633 5.633
angles: 90.00 90.00 90.00
Sites, in units of the cell vectors:
Hg  0.000  0.000  0.000
Hg  0.000  0.500  0.500
Hg  0.500  0.000  0.500
Hg  0.500  0.500  0.000
C  0.250  0.250  0.250
C  0.250  0.250  0.750
C  0.250  0.750  0.250
C  0.250  0.750  0.750
C  0.750  0.250  0.250
C  0.750  0.250  0.750
C  0.750  0.750  0.250
C  0.750  0.750  0.750
O  0.000  0.000  0.500
O  0.000  0.500  0.000
O  0.500  0.000  0.000
O  0.500  0.500  0.500

---

Record 12
# HgC2O

A relaxed HgC2O crystal (PBE-GGA, the Alexandria database).

Offset from the most stable computed form (eV/f.u.): 0.00
SG: No. 122
Formation energy (no corrections) (meV/atom): 2244

abc: 4.851 4.851 8.627
angles: 90.00 90.00 90.00
Sites, in units of the cell vectors:
Hg  0.000  0.000  0.000
Hg  0.000  0.500  0.250
Hg  0.500  0.000  0.750
Hg  0.500  0.500  0.500
C  0.176  0.250  0.625
C  0.250  0.676  0.875
C  0.250  0.824  0.375
C  0.324  0.250  0.125
C  0.676  0.750  0.125
C  0.750  0.176  0.375
C  0.750  0.324  0.875
C  0.824  0.750  0.625
O  0.000  0.000  0.500
O  0.000  0.500  0.750
O  0.500  0.000  0.250
O  0.500  0.500  0.000